First-principles (GGA-PBEsol) data for KPrP4O12 after structural relaxation, as listed in the Alexandria database.

a b c (Å): 7.421 7.421 10.696
angles (deg): 100.77 100.77 115.24
Fractional coordinates of all 36 atoms:
O 0.145 0.001 0.916
O 0.784 0.036 0.573
P 0.242 0.194 0.445
P 0.786 0.127 0.000
O 0.036 0.784 0.073
K 0.685 0.315 0.750
P 0.806 0.758 0.055
O 0.312 0.805 0.597
Pr 0.380 0.620 0.750
O 0.964 0.216 0.927
P 0.214 0.873 0.000
P 0.194 0.242 0.945
O 0.999 0.855 0.584
O 0.674 0.640 0.913
O 0.991 0.588 0.387
O 0.326 0.360 0.087
O 0.261 0.314 0.833
P 0.758 0.806 0.555
O 0.216 0.964 0.427
O 0.686 0.739 0.667
O 0.588 0.991 0.887
O 0.739 0.686 0.167
O 0.009 0.412 0.613
P 0.873 0.214 0.500
O 0.640 0.674 0.413
O 0.195 0.688 0.903
O 0.412 0.009 0.113
O 0.314 0.261 0.333
O 0.855 0.999 0.084
O 0.688 0.195 0.403
Pr 0.620 0.380 0.250
K 0.315 0.685 0.250
O 0.001 0.145 0.416
O 0.805 0.312 0.097
P 0.127 0.786 0.500
O 0.360 0.326 0.587

Results
V = 499.3 Å³ per cell
Theoretical density = 3.30 Mg/m³
DFT total energy = -273.7 eV/cell

***

First-principles (GGA-PBEsol) data for GeHW3 after structural relaxation, as listed in the Alexandria database.

a b c (Å): 3.993 3.993 3.993
angles (deg): 90.00 90.00 90.00
Fractional coordinates of all 5 atoms:
W 0.000 0.000 0.500
W 0.500 0.000 0.000
Ge 0.500 0.500 0.500
H 0.000 0.000 0.000
W 0.000 0.500 0.000

Results
V = 63.7 Å³ per cell
Theoretical density = 16.30 Mg/m³
DFT total energy = -47.5 eV/cell

***

First-principles (GGA-PBEsol) data for InNiS3 after structural relaxation, as listed in the Alexandria database.

a b c (Å): 4.452 4.452 4.452
angles (deg): 90.00 90.00 90.00
Fractional coordinates of all 5 atoms:
S 0.000 0.000 0.500
S 0.000 0.500 0.000
In 0.500 0.500 0.500
Ni 0.000 0.000 0.000
S 0.500 0.000 0.000

Results
V = 88.2 Å³ per cell
Theoretical density = 5.08 Mg/m³
DFT total energy = -21.8 eV/cell

***

First-principles (GGA-PBEsol) data for Re3MoO after structural relaxation, as listed in the Alexandria database.

a b c (Å): 4.045 4.045 4.045
angles (deg): 90.00 90.00 90.00
Fractional coordinates of all 5 atoms:
O 0.000 0.000 0.000
Re 0.500 0.000 0.000
Re 0.000 0.500 0.000
Mo 0.500 0.500 0.500
Re 0.000 0.000 0.500

Results
V = 66.2 Å³ per cell
Theoretical density = 16.83 Mg/m³
DFT total energy = -55.6 eV/cell

***

First-principles (GGA-PBEsol) data for AgHg2Ru after structural relaxation, as listed in the Alexandria database.

a b c (Å): 2.953 2.953 9.388
angles (deg): 80.95 80.95 60.00
Fractional coordinates of all 4 atoms:
Ru 0.500 0.500 0.500
Ag 0.000 0.000 0.000
Hg 0.752 0.752 0.743
Hg 0.248 0.248 0.257

Results
V = 69.7 Å³ per cell
E above lowest polymorph = 0.0 kJ per mole of atoms
ΔH_f (0 K) = 0.35 eV per atom
Theoretical density = 14.53 Mg/m³
DFT total energy = -13.2 eV/cell

***

First-principles (GGA-PBEsol) data for TcNi2Cl after structural relaxation, as listed in the Alexandria database.

a b c (Å): 3.498 3.498 4.035
angles (deg): 90.00 90.00 90.00
Fractional coordinates of all 4 atoms:
Ni 0.000 0.500 0.000
Tc 0.500 0.500 0.500
Cl 0.000 0.000 0.500
Ni 0.500 0.000 0.000

Results
V = 49.4 Å³ per cell
E above lowest polymorph = 60.6 kJ per mole of atoms
Theoretical density = 8.44 Mg/m³
DFT total energy = -22.3 eV/cell

***

First-principles (GGA-PBEsol) data for La2YAg after structural relaxation, as listed in the Alexandria database.

a b c (Å): 3.731 3.731 8.548
angles (deg): 90.00 90.00 90.00
Fractional coordinates of all 4 atoms:
Y 0.500 0.500 0.000
Ag 0.500 0.500 0.500
La 0.000 0.000 0.281
La 0.000 0.000 0.719

Results
V = 119.0 Å³ per cell
E above lowest polymorph = 5.0 kJ per mole of atoms
ΔH_f (0 K) = -0.07 eV per atom
Theoretical density = 6.62 Mg/m³
DFT total energy = -21.1 eV/cell

***

First-principles (GGA-PBEsol) data for Li4Mn3Ni3O12 after structural relaxation, as listed in the Alexandria database.

a b c (Å): 5.719 5.841 6.400
angles (deg): 104.43 102.18 91.76
Fractional coordinates of all 22 atoms:
O 0.726 0.265 0.978
O 0.746 0.743 0.025
Li 0.822 0.341 0.345
Ni 0.337 0.832 0.336
Ni 0.663 0.168 0.664
O 0.403 0.413 0.688
Li 0.178 0.659 0.655
O 0.597 0.587 0.312
Ni 0.000 0.500 0.000
O 0.923 0.381 0.670
O 0.401 0.951 0.648
O 0.254 0.257 0.975
Mn 0.835 0.827 0.340
Li 0.500 0.000 0.000
Mn 0.500 0.500 0.000
O 0.066 0.071 0.345
O 0.934 0.929 0.655
Li 0.000 0.000 0.000
O 0.599 0.049 0.352
Mn 0.165 0.173 0.660
O 0.077 0.619 0.330
O 0.274 0.735 0.022

Results
V = 201.6 Å³ per cell
Theoretical density = 4.62 Mg/m³
DFT total energy = -152.0 eV/cell

***

First-principles (GGA-PBEsol) data for BeZn2Ru after structural relaxation, as listed in the Alexandria database.

a b c (Å): 2.590 3.782 5.043
angles (deg): 90.00 90.00 90.00
Fractional coordinates of all 4 atoms:
Ru 0.500 0.500 0.500
Be 0.500 0.500 0.000
Zn 0.000 0.000 0.756
Zn 0.000 0.000 0.244

Results
V = 49.4 Å³ per cell
ΔH_f (0 K) = 0.11 eV per atom
Theoretical density = 8.10 Mg/m³
DFT total energy = -16.9 eV/cell

***

First-principles (GGA-PBEsol) data for LaCuSeO after structural relaxation, as listed in the Alexandria database.

a b c (Å): 4.011 4.011 8.619
angles (deg): 90.00 90.00 90.00
Fractional coordinates of all 8 atoms:
Cu 0.500 0.500 0.500
Se 0.000 0.500 0.331
Cu 0.000 0.000 0.500
O 0.500 0.500 0.000
La 0.500 0.000 0.143
Se 0.500 0.000 0.669
O 0.000 0.000 0.000
La 0.000 0.500 0.857

Results
V = 138.7 Å³ per cell
Theoretical density = 7.12 Mg/m³
DFT total energy = -53.9 eV/cell

***

First-principles (GGA-PBEsol) data for Al5Mo after structural relaxation, as listed in the Alexandria database.

a b c (Å): 4.909 4.909 9.168
angles (deg): 74.47 74.47 60.00
Fractional coordinates of all 12 atoms:
Al 0.669 0.669 0.993
Al 0.331 0.331 0.007
Al 0.595 0.250 0.250
Al 0.169 0.169 0.493
Al 0.405 0.750 0.750
Al 0.750 0.095 0.750
Mo 0.000 0.000 0.000
Al 0.831 0.831 0.507
Al 0.250 0.905 0.250
Al 0.095 0.405 0.750
Mo 0.500 0.500 0.500
Al 0.905 0.595 0.250

Results
V = 182.0 Å³ per cell
E above lowest polymorph = 0.6 kJ per mole of atoms
ΔH_f (0 K) = -0.23 eV per atom
Theoretical density = 4.21 Mg/m³
DFT total energy = -67.2 eV/cell

***

First-principles (GGA-PBEsol) data for Tl2ReRh after structural relaxation, as listed in the Alexandria database.

a b c (Å): 3.052 3.052 8.974
angles (deg): 80.21 80.21 60.00
Fractional coordinates of all 4 atoms:
Tl 0.247 0.247 0.259
Re 0.000 0.000 0.000
Tl 0.753 0.753 0.741
Rh 0.500 0.500 0.500

Results
V = 71.0 Å³ per cell
E above lowest polymorph = 29.6 kJ per mole of atoms
ΔH_f (0 K) = 0.71 eV per atom
Theoretical density = 16.33 Mg/m³
DFT total energy = -23.9 eV/cell

***

First-principles (GGA-PBEsol) data for Zr2BeTc after structural relaxation, as listed in the Alexandria database.

a b c (Å): 3.207 4.485 5.036
angles (deg): 104.63 108.57 90.00
Fractional coordinates of all 4 atoms:
Zr 0.998 0.979 0.996
Tc 0.202 0.728 0.404
Be 0.526 0.485 0.053
Zr 0.774 0.307 0.548

Results
V = 66.2 Å³ per cell
ΔH_f (0 K) = -0.06 eV per atom
Theoretical density = 7.26 Mg/m³
DFT total energy = -33.7 eV/cell

***

First-principles (GGA-PBEsol) data for TaReAs2 after structural relaxation, as listed in the Alexandria database.

a b c (Å): 3.258 3.258 5.918
angles (deg): 90.00 90.00 90.00
Fractional coordinates of all 4 atoms:
Re 0.000 0.000 0.467
Ta 0.500 0.500 0.784
As 0.500 0.500 0.274
As 0.000 0.000 0.975

Results
V = 62.8 Å³ per cell
E above lowest polymorph = 0.8 kJ per mole of atoms
ΔH_f (0 K) = -0.15 eV per atom
Theoretical density = 13.67 Mg/m³
DFT total energy = -36.7 eV/cell

***

First-principles (GGA-PBEsol) data for Y3SbIr after structural relaxation, as listed in the Alexandria database.

a b c (Å): 5.269 5.269 5.269
angles (deg): 90.00 90.00 90.00
Fractional coordinates of all 5 atoms:
Ir 0.000 0.000 0.000
Y 0.000 0.000 0.500
Sb 0.500 0.500 0.500
Y 0.000 0.500 0.000
Y 0.500 0.000 0.000

Results
V = 146.3 Å³ per cell
Theoretical density = 6.59 Mg/m³
DFT total energy = -37.4 eV/cell

***

First-principles (GGA-PBEsol) data for Tb2MgSi2 after structural relaxation, as listed in the Alexandria database.

a b c (Å): 4.163 7.142 7.142
angles (deg): 90.00 90.00 90.00
Fractional coordinates of all 10 atoms:
Si 0.000 0.882 0.382
Si 0.000 0.618 0.882
Si 0.000 0.382 0.118
Si 0.000 0.118 0.618
Tb 0.500 0.322 0.822
Tb 0.500 0.178 0.322
Mg 0.000 0.500 0.500
Tb 0.500 0.678 0.178
Tb 0.500 0.822 0.678
Mg 0.000 0.000 0.000

Results
V = 212.4 Å³ per cell
Theoretical density = 6.23 Mg/m³
DFT total energy = -54.1 eV/cell

***

First-principles (GGA-PBEsol) data for Be3Pt4 after structural relaxation, as listed in the Alexandria database.

a b c (Å): 2.785 2.785 10.882
angles (deg): 97.35 97.35 90.00
Fractional coordinates of all 7 atoms:
Pt 0.166 0.166 0.332
Be 0.277 0.277 0.555
Pt 0.434 0.434 0.867
Pt 0.834 0.834 0.668
Pt 0.566 0.566 0.133
Be 0.723 0.723 0.445
Be 0.000 0.000 0.000

Results
V = 83.0 Å³ per cell
ΔH_f (0 K) = -0.58 eV per atom
Theoretical density = 16.15 Mg/m³
DFT total energy = -43.9 eV/cell

***

First-principles (GGA-PBEsol) data for Sr2AgAs after structural relaxation, as listed in the Alexandria database.

a b c (Å): 4.336 4.521 6.189
angles (deg): 90.00 110.51 90.00
Fractional coordinates of all 4 atoms:
As 0.701 0.500 0.402
Ag 0.554 0.000 0.107
Sr 0.261 0.000 0.522
Sr 0.984 0.500 0.968

Results
V = 113.6 Å³ per cell
ΔH_f (0 K) = -0.72 eV per atom
Theoretical density = 5.23 Mg/m³
DFT total energy = -15.0 eV/cell

***

First-principles (GGA-PBEsol) data for RbTa2Os after structural relaxation, as listed in the Alexandria database.

a b c (Å): 4.675 4.675 4.675
angles (deg): 60.00 60.00 60.00
Fractional coordinates of all 4 atoms:
Ta 0.750 0.750 0.750
Ta 0.250 0.250 0.250
Rb 0.000 0.000 0.000
Os 0.500 0.500 0.500

Results
V = 72.2 Å³ per cell
ΔH_f (0 K) = 1.35 eV per atom
Theoretical density = 14.66 Mg/m³
DFT total energy = -32.9 eV/cell

***

First-principles (GGA-PBEsol) data for Ce2In8Pt after structural relaxation, as listed in the Alexandria database.

a b c (Å): 4.647 4.647 11.983
angles (deg): 90.00 90.00 90.00
Fractional coordinates of all 11 atoms:
In 0.000 0.500 0.874
In 0.500 0.500 0.310
Ce 0.000 0.000 0.308
Ce 0.000 0.000 0.692
Pt 0.000 0.000 0.000
In 0.500 0.000 0.874
In 0.500 0.000 0.500
In 0.000 0.500 0.500
In 0.500 0.500 0.690
In 0.500 0.000 0.126
In 0.000 0.500 0.126

Results
V = 258.8 Å³ per cell
ΔH_f (0 K) = -0.47 eV per atom
Theoretical density = 8.94 Mg/m³
DFT total energy = -49.2 eV/cell

***

First-principles (GGA-PBEsol) data for NiH20S2N2O14 after structural relaxation, as listed in the Alexandria database.

a b c (Å): 6.368 8.804 12.354
angles (deg): 90.00 90.00 107.63
Fractional coordinates of all 78 atoms:
H 0.643 0.516 0.534
H 0.357 0.984 0.034
H 0.969 0.870 0.193
H 0.031 0.130 0.807
H 0.921 0.234 0.619
H 0.918 0.234 0.400
H 0.082 0.266 0.900
O 0.849 0.818 0.893
O 0.225 0.940 0.560
S 0.274 0.078 0.632
Ni 0.000 0.000 0.000
S 0.726 0.422 0.132
O 0.225 0.440 0.940
O 0.934 0.398 0.174
H 0.615 0.322 0.924
H 0.692 0.265 0.587
H 0.309 0.383 0.569
H 0.385 0.678 0.076
H 0.546 0.922 0.683
O 0.775 0.560 0.060
H 0.569 0.235 0.798
O 0.585 0.441 0.224
O 0.302 0.489 0.540
H 0.692 0.765 0.913
H 0.309 0.883 0.931
O 0.775 0.060 0.440
H 0.969 0.370 0.307
H 0.918 0.734 0.100
H 0.357 0.484 0.466
H 0.431 0.765 0.202
H 0.569 0.735 0.702
O 0.398 0.725 0.931
H 0.691 0.117 0.069
O 0.602 0.275 0.069
O 0.151 0.682 0.393
O 0.014 0.845 0.119
O 0.698 0.011 0.040
Ni 0.000 0.500 0.500
N 0.632 0.343 0.841
H 0.308 0.735 0.413
H 0.797 0.896 0.677
H 0.615 0.822 0.576
H 0.203 0.104 0.323
O 0.398 0.225 0.569
H 0.454 0.078 0.317
H 0.203 0.604 0.177
H 0.643 0.016 0.966
O 0.014 0.345 0.381
O 0.698 0.511 0.460
O 0.986 0.655 0.619
O 0.934 0.898 0.326
O 0.151 0.182 0.107
O 0.986 0.155 0.881
H 0.797 0.396 0.823
H 0.079 0.766 0.381
H 0.546 0.422 0.817
O 0.066 0.102 0.674
H 0.431 0.265 0.298
O 0.849 0.318 0.607
H 0.031 0.630 0.693
N 0.368 0.157 0.341
H 0.921 0.734 0.881
O 0.302 0.989 0.960
O 0.415 0.559 0.776
H 0.082 0.766 0.600
N 0.632 0.843 0.659
S 0.274 0.578 0.868
H 0.079 0.266 0.119
H 0.454 0.578 0.183
O 0.602 0.775 0.431
S 0.726 0.922 0.368
H 0.691 0.617 0.431
O 0.066 0.602 0.826
N 0.368 0.657 0.159
O 0.415 0.059 0.724
H 0.385 0.178 0.424
O 0.585 0.941 0.276
H 0.308 0.235 0.087

Results
V = 660.1 Å³ per cell
Theoretical density = 1.99 Mg/m³
DFT total energy = -422.0 eV/cell